VASP calculation (PBE+U) on an optimized crystal structure of CoPdSeO.

## Properties
mass density	6.84	g cm⁻³
distance to the lowest polymorph of the same formula	0.048	eV per atom
SG	Cmc2_1

a b c (Å): 6.5403 6.5403 5.5609
angles (deg): 90.00 90.00 32.10
Site moments in Bohr magnetons follow the coordinates.
Element x y z (fractional)
O (0.9262, 0.9262, 0.0167)  0.07
O (0.0738, 0.0738, 0.5167)  0.07
Pd (0.3201, 0.3201, 0.9969)  -0.27
Pd (0.6799, 0.6799, 0.4969)  -0.27
Se (0.6757, 0.6757, 0.0193)  -0.06
Se (0.3243, 0.3243, 0.5193)  -0.06
Co (0.0579, 0.0579, 0.8597)  2.43
Co (0.9421, 0.9421, 0.3597)  2.43